A relaxed structure of CrTeO3, computed with GGA+U.

Cell and atoms, written as POSCAR:
```
CrTeO3
1.0
4.0693 0.0000 0.0000
0.0000 4.0693 0.0000
0.0000 0.0000 4.0693
Cr Te O
1 1 3
direct
0.5000 0.5000 0.5000
0.0000 0.0000 0.0000
0.0000 0.5000 0.0000
0.0000 0.0000 0.5000
0.5000 0.0000 0.0000
```

The value obtained for the energy is -5.7020 eV per atom.